Material: Pa2NiPbO8
Method: DFT, PBE with a Hubbard U
State: optimized geometry

Lattice parameters (Å, degrees): 4.9537 4.9546 7.0354 90.00 90.00 90.02
Last column: magnetic moment on the atom in μB.
Positions (direct):
O1 0.1925 0.8065 0.2489  0.03
O2 0.1924 0.8065 0.7512  0.03
O3 0.3149 0.3136 0.5001  0.00
O4 0.8075 0.1935 0.7511  0.03
O5 0.8076 0.1935 0.2488  0.03
O6 0.6917 0.6925 0.0000  0.02
O7 0.3083 0.3075 0.0000  0.02
O8 0.6851 0.6864 0.4999  0.00
Pa1 0.5000 0.5000 0.2435  0.03
Pa2 0.5000 0.5000 0.7565  0.03
Ni1 0.0000 0.0000 0.0000  1.80
Pb1 0.0000 0.0000 0.5000  0.00

Properties
space group	Cmmm
E_tot	-94.11	eV per cell